# 1
DFT (PBE) results for crystalline TcAsRh at its relaxed geometry.

```
TcAsRh
1.0
-4.850 -4.522 -0.961
-4.481 -4.213 1.859
-2.252 1.352 -1.133
Rh As Tc
1 1 1
Direct
0.339 0.339 0.661
0.001 0.001 0.999
0.660 0.660 0.340
```

Calculated values
energy relative to the lowest polymorph listed for this composition: 344 meV/atom
energy of formation: 0.29 eV per atom
magnetic moment: 0.0 μB per formula unit

# 2
DFT (PBE) results for crystalline Sc2InCo at its relaxed geometry.

```
Sc2InCo
1.0
-3.902 -2.554 0.101
2.115 -3.344 -2.471
1.901 1.522 3.979
In Sc Co
1 2 1
Direct
0.750 0.250 0.500
0.250 0.750 0.500
0.000 0.000 0.000
0.500 0.500 0.000
```

Calculated values
energy of formation: -0.20 eV per atom
magnetic moment: 0.0 μB per formula unit

# 3
DFT (PBE) results for crystalline MgCrIrW at its relaxed geometry.

```
MgCrIrW
1.0
4.369 0.000 0.000
2.185 3.784 0.000
2.185 1.261 3.568
Ir W Mg Cr
1 1 1 1
Direct
0.750 0.750 0.750
0.000 0.000 0.000
0.500 0.500 0.500
0.250 0.250 0.250
```

Calculated values
energy of formation: 0.03 eV per atom
magnetic moment: 1.0 μB per formula unit

# 4
DFT (PBE) results for crystalline RuW2Br at its relaxed geometry.

```
RuW2Br
1.0
3.020 0.000 0.000
0.000 4.527 -0.002
0.000 4.505 4.736
Br W Ru
1 2 1
Direct
0.500 0.500 0.500
0.500 0.500 0.000
0.000 0.000 0.000
0.000 0.000 0.500
```

Calculated values
energy relative to the lowest polymorph listed for this composition: 488 meV/atom
magnetic moment: 0.0 μB per formula unit
uncorrected formation energy: 0.978 eV/atom

# 5
DFT (PBE) results for crystalline Rb3Cd6Bi5 at its relaxed geometry.

```
Rb3Cd6Bi5
1.0
-2.428 2.280 3.683
-9.553 2.780 -8.020
-6.867 -13.157 3.618
Cd Rb Bi
12 6 10
Direct
0.500 0.996 0.666
0.000 0.989 0.500
0.000 0.493 0.500
0.000 0.004 0.166
0.000 0.004 0.834
0.500 0.382 0.810
0.000 0.618 0.690
0.000 0.618 0.310
0.500 0.507 0.000
0.500 0.011 0.000
0.500 0.382 0.190
0.500 0.996 0.334
0.500 0.752 0.158
0.000 0.248 0.342
0.000 0.244 0.000
0.000 0.248 0.658
0.500 0.756 0.500
0.500 0.752 0.842
0.000 0.506 0.868
0.500 0.144 0.172
0.000 0.506 0.132
0.000 0.873 0.000
0.500 0.494 0.368
0.500 0.144 0.828
0.500 0.127 0.500
0.500 0.494 0.632
0.000 0.856 0.672
0.000 0.856 0.328
```

Calculated values
energy of formation: -0.20 eV per atom
magnetic moment: 0.0 μB per formula unit

# 6
DFT (PBE) results for crystalline PrAl2Au3 at its relaxed geometry.

```
PrAl2Au3
1.0
5.537 0.000 0.000
0.000 6.513 -1.742
0.000 0.505 6.723
Au Al Pr
6 4 2
Direct
0.750 0.476 0.120
0.250 0.942 0.942
0.750 0.120 0.476
0.250 0.524 0.880
0.750 0.058 0.058
0.250 0.880 0.524
0.500 0.790 0.210
0.000 0.210 0.790
0.000 0.790 0.210
0.500 0.210 0.790
0.250 0.314 0.314
0.750 0.686 0.686
```

Calculated values
energy of formation: -0.65 eV per atom
magnetic moment: 0.0 μB per formula unit